Nd2Y3Tm7: optimized geometry, PBE-GGA.

## Properties
For the formation energy, the calculation gives 0.09 eV per atom. For the final energy, the calculation gives -59.2 eV per cell. The calculation puts the spin magnetization at 0.00 μB per cell.

Unit cell a=6.3054 b=3.5046 c=17.3430 alpha=90.00 beta=96.19 gamma=90.00
Space group P2/m (No. 10)
Symmetry-distinct sites (fractional):
Nd1 0.0595 0.0000 0.1742 x2
Y1 0.4514 0.5000 0.8426 x2
Y2 0.5000 0.0000 0.5000 x1
Tm1 0.0000 0.5000 0.5000 x1
Tm2 0.2259 0.0000 0.6653 x2
Tm3 0.2557 0.0000 0.9991 x2
Tm4 0.2742 0.5000 0.3369 x2